First-principles (PBE-GGA) data for Li2ZrSb after structural relaxation, as listed in Alexandria.

abc: 4.8043 4.8043 4.8043
angles: 60.00 60.00 60.00
Last column: nearest neighbours and their distance in Å.
Atoms (fractional coordinates):
Li 0.2500 0.2500 0.2500  4 Li 2.94, 4 Sb 2.94
Li 0.0000 0.0000 0.0000  4 Li 2.94, 4 Zr 2.94
Sb 0.5000 0.5000 0.5000  4 Zr 2.94, 4 Li 2.94
Zr 0.7500 0.7500 0.7500  4 Li 2.94, 4 Sb 2.94

Summary:
The total energy is -4.32 eV per atom. The formation energy (no corrections) is -199 meV/atom.